## KSb2Pb (PBE)

Data for KSb2Pb after structural relaxation.

Output
**Density**: 6.478 g cm⁻³
**Final energy**: -12.8 eV for the cell shown
**Volume**: 31.39 Å³/atom

a b c (Å): 5.6207 5.6207 5.6207
angles (deg): 60.00 60.00 60.00
Closest atoms and distances in Å follow each position.
Fractional positions:
K: 0.0000 0.0000 0.0000  4 Pb 3.44, 4 Sb 3.44
Sb: 0.5000 0.5000 0.5000  4 Pb 3.44, 4 Sb 3.44
Sb: 0.7500 0.7500 0.7500  4 K 3.44, 4 Sb 3.44
Pb: 0.2500 0.2500 0.2500  4 Sb 3.44, 4 K 3.44